1.
{
  "formula": "Si2BrCl",
  "functional": "PBE-GGA",
  "state": "optimized geometry",
  "e_above_lowest_polymorph_ev_per_atom": 0.6039,
  "energy_ev_per_cell": -13.39,
  "magmom_total_mub_per_atom": 0.00,
  "dos_ef_per_ev_cell": 0.952,
  "e_form_raw_mev_per_atom": 244,
  "lattice": [[4.525, 0.000, 0.000], [0.000, 3.962, -0.003], [0.000, -0.606, 5.553]],
  "species": ["Br", "Cl", "Si", "Si"],
  "frac_coords": [[0.500, 0.250, 0.250], [0.500, 0.750, 0.750], [0.000, 0.015, 0.882], [0.000, 0.485, 0.618]]
}


2.
{
  "formula": "LiZrN2",
  "functional": "PBE-GGA",
  "state": "optimized geometry",
  "e_above_lowest_polymorph_ev_per_atom": 0.0000,
  "energy_ev_per_cell": -30.23,
  "magmom_total_mub_per_atom": 0.22,
  "dos_ef_per_ev_cell": 2.916,
  "e_form_raw_mev_per_atom": -779,
  "lattice": [[3.313, -0.001, -0.034], [1.657, 2.868, -0.045], [0.065, 0.078, 5.394]],
  "species": ["Li", "Zr", "N", "N"],
  "frac_coords": [[0.666, 0.669, 0.534], [0.000, 0.999, 0.974], [0.667, 0.664, 0.163], [0.333, 0.334, 0.747]]
}


3.
{
  "formula": "InHN2O",
  "functional": "PBE-GGA",
  "state": "optimized geometry",
  "energy_ev_per_cell": -21.79,
  "magmom_total_mub_per_atom": 0.08,
  "dos_ef_per_ev_cell": 1.370,
  "lattice": [[3.043, 0.000, 0.000], [0.000, 3.043, 0.000], [0.000, 0.000, 5.294]],
  "species": ["H", "N", "N", "O", "In"],
  "frac_coords": [[0.000, 0.000, 0.000], [0.000, 0.500, 0.000], [0.500, 0.000, 0.000], [0.000, 0.000, 0.500], [0.500, 0.500, 0.500]]
}


4.
{
  "formula": "Si23Ni4",
  "functional": "PBE-GGA",
  "state": "optimized geometry",
  "energy_ev_per_cell": -269.23,
  "magmom_total_mub_per_atom": 0.12,
  "dos_ef_per_ev_cell": 89.699,
  "e_form_raw_mev_per_atom": 490,
  "lattice": [[10.085, 0.000, 0.000], [0.000, 10.085, 0.000], [0.000, 0.000, 10.085]],
  "species": ["Ni", "Ni", "Ni", "Ni", "Ni", "Ni", "Ni", "Ni", "Si", "Si", "Si", "Si", "Si", "Si", "Si", "Si", "Si", "Si", "Si", "Si", "Si", "Si", "Si", "Si", "Si", "Si", "Si", "Si", "Si", "Si", "Si", "Si", "Si", "Si", "Si", "Si", "Si", "Si", "Si", "Si", "Si", "Si", "Si", "Si", "Si", "Si", "Si", "Si", "Si", "Si", "Si", "Si", "Si", "Si"],
  "frac_coords": [[0.000, 0.000, 0.000], [0.500, 0.500, 0.500], [0.250, 0.500, 0.000], [0.750, 0.500, 0.000], [0.500, 0.000, 0.250], [0.500, 0.000, 0.750], [0.000, 0.250, 0.500], [0.000, 0.750, 0.500], [0.250, 0.000, 0.500], [0.750, 0.000, 0.500], [0.000, 0.500, 0.250], [0.000, 0.500, 0.750], [0.500, 0.250, 0.000], [0.500, 0.750, 0.000], [0.682, 0.682, 0.682], [0.682, 0.318, 0.318], [0.318, 0.682, 0.318], [0.318, 0.318, 0.682], [0.818, 0.818, 0.818], [0.818, 0.182, 0.182], [0.182, 0.818, 0.182], [0.182, 0.182, 0.818], [0.318, 0.318, 0.318], [0.318, 0.682, 0.682], [0.682, 0.318, 0.682], [0.682, 0.682, 0.318], [0.182, 0.182, 0.182], [0.182, 0.818, 0.818], [0.818, 0.182, 0.818], [0.818, 0.818, 0.182], [0.000, 0.689, 0.884], [0.000, 0.311, 0.116], [0.000, 0.689, 0.116], [0.000, 0.311, 0.884], [0.689, 0.884, 0.000], [0.689, 0.116, 0.000], [0.311, 0.884, 0.000], [0.311, 0.116, 0.000], [0.884, 0.000, 0.689], [0.884, 0.000, 0.311], [0.116, 0.000, 0.311], [0.116, 0.000, 0.689], [0.811, 0.500, 0.616], [0.811, 0.500, 0.384], [0.189, 0.500, 0.384], [0.189, 0.500, 0.616], [0.500, 0.616, 0.811], [0.500, 0.384, 0.189], [0.500, 0.616, 0.189], [0.500, 0.384, 0.811], [0.616, 0.811, 0.500], [0.616, 0.189, 0.500], [0.384, 0.811, 0.500], [0.384, 0.189, 0.500]]
}


5.
{
  "formula": "NiOs2",
  "functional": "PBE-GGA",
  "state": "optimized geometry",
  "e_above_lowest_polymorph_ev_per_atom": 0.1066,
  "energy_ev_per_cell": -166.82,
  "magmom_total_mub_per_atom": 0.00,
  "dos_ef_per_ev_cell": 16.312,
  "lattice": [[4.683, 0.000, 0.000], [-2.341, 4.056, 0.000], [0.000, 0.000, 12.669]],
  "species": ["Ni", "Ni", "Ni", "Ni", "Ni", "Ni", "Os", "Os", "Os", "Os", "Os", "Os", "Os", "Os", "Os", "Os", "Os", "Os"],
  "frac_coords": [[0.000, 0.000, 0.331], [0.000, 0.000, 0.669], [0.333, 0.667, 0.998], [0.333, 0.667, 0.335], [0.667, 0.333, 0.665], [0.667, 0.333, 0.002], [0.000, 0.000, 0.000], [0.333, 0.667, 0.667], [0.667, 0.333, 0.333], [0.326, 0.000, 0.500], [0.000, 0.326, 0.500], [0.674, 0.674, 0.500], [0.660, 0.667, 0.167], [0.333, 0.993, 0.167], [0.007, 0.340, 0.167], [0.993, 0.333, 0.833], [0.667, 0.660, 0.833], [0.340, 0.007, 0.833]]
}


6.
{
  "formula": "TiAgMo2",
  "functional": "PBE-GGA",
  "state": "optimized geometry",
  "e_above_lowest_polymorph_ev_per_atom": 0.0000,
  "energy_ev_per_cell": -30.29,
  "magmom_total_mub_per_atom": 0.00,
  "dos_ef_per_ev_cell": 13.513,
  "lattice": [[0.000, 3.199, 3.199], [3.199, 0.000, 3.199], [3.199, 3.199, 0.000]],
  "species": ["Mo", "Mo", "Ag", "Ti"],
  "frac_coords": [[0.250, 0.250, 0.250], [0.750, 0.750, 0.750], [0.500, 0.500, 0.500], [0.000, 0.000, 0.000]]
}


7.
{
  "formula": "Pm2SiO",
  "functional": "PBE-GGA",
  "state": "optimized geometry",
  "e_above_lowest_polymorph_ev_per_atom": 0.0000,
  "energy_ev_per_cell": -26.20,
  "magmom_total_mub_per_atom": 0.00,
  "dos_ef_per_ev_cell": 1.438,
  "e_form_raw_mev_per_atom": -1579,
  "lattice": [[-3.751, 1.051, -0.722], [1.433, -3.676, -0.357], [0.484, -0.684, 6.844]],
  "species": ["Pm", "Pm", "Si", "O"],
  "frac_coords": [[0.501, 0.283, 0.783], [0.499, 0.717, 0.217], [0.000, 0.500, 0.500], [0.000, 0.000, 0.000]]
}


8.
{
  "formula": "InFePb2",
  "functional": "PBE-GGA",
  "state": "optimized geometry",
  "e_above_lowest_polymorph_ev_per_atom": 0.2639,
  "energy_ev_per_cell": -16.46,
  "magmom_total_mub_per_atom": 0.74,
  "dos_ef_per_ev_cell": 3.625,
  "lattice": [[-3.285, 0.495, -0.972], [1.292, -1.542, -5.152], [-1.122, -5.040, 1.227]],
  "species": ["Fe", "In", "Pb", "Pb"],
  "frac_coords": [[0.500, 0.000, 0.500], [0.000, 0.500, 0.500], [0.000, 0.000, 0.000], [0.500, 0.500, 0.000]]
}


> Which formula does entry 5 have?

NiOs2